## Ga5Ag13 (PBEsol)

Data for crystalline Ga5Ag13 at its relaxed geometry.

The structure in POSCAR format:
```
Ga5Ag13
1.0
2.8872 0.0000 0.0000
0.0018 7.6329 0.0000
0.0000 0.0154 13.2367
Ga Ag
5 13
Cartesian
0.0000 0.0000 0.0000
0.0014 3.8133 2.2232
0.0064 7.6367 8.8167
1.4481 3.8335 11.0241
1.4529 7.6149 4.4192
0.0056 6.1511 11.0411
0.0072 2.2716 4.3701
0.0054 2.6337 9.0836
0.0053 2.6784 13.0520
0.0053 3.8167 6.6215
0.0074 6.4765 2.3833
0.0092 6.5188 6.4177
1.4476 1.0446 11.0580
1.4481 5.1982 0.1871
1.4506 1.3675 6.8269
1.4483 1.3729 1.9974
1.4499 4.8751 4.3684
1.4500 5.2352 8.6678
```

Values from the calculation:
E_form   -1.50 kcal/mol of atoms
Calculated total energy   -3.3843 eV/atom
Total magnetization   0.0 Bohr magnetons per cell

## Ga3Ag (PBEsol)

Data for crystalline Ga3Ag at its relaxed geometry.

The structure in POSCAR format:
```
Ga3Ag
1.0
-2.0675 2.0675 4.0093
2.0675 -2.0675 4.0093
2.0675 2.0675 -4.0093
Ga Ag
3 1
Cartesian
0.0000 0.0000 0.0000
2.0675 0.0000 2.0047
0.0000 2.0675 2.0047
0.0000 0.0000 4.0093
```

Values from the calculation:
E_form   0.59 kcal/mol of atoms
Calculated total energy   -3.3069 eV/atom
Total magnetization   0.0 Bohr magnetons per cell

## Ga3Ag (PBEsol)

Data for crystalline Ga3Ag at its relaxed geometry.

The structure in POSCAR format:
```
Ga3Ag
1.0
5.7863 0.0000 0.0000
-2.8932 5.0111 0.0000
0.0000 0.0000 4.8154
Ga Ag
6 2
Cartesian
0.0000 1.6755 1.2039
-1.4421 4.1733 1.2039
1.4511 0.8378 3.6116
1.4421 4.1733 1.2039
4.3353 0.8378 3.6116
2.8932 3.3356 3.6116
0.0000 3.3407 3.6116
2.8932 1.6704 1.2039
```

Values from the calculation:
E_form   1.15 kcal/mol of atoms
Calculated total energy   -3.2829 eV/atom
Total magnetization   0.0 Bohr magnetons per cell

## Ga3Ag (PBEsol)

Data for crystalline Ga3Ag at its relaxed geometry.

The structure in POSCAR format:
```
Ga3Ag
1.0
0.0000 3.2734 3.2734
3.2734 0.0000 3.2734
3.2734 3.2734 0.0000
Ga Ag
3 1
Cartesian
0.0000 0.0000 0.0000
1.6367 1.6367 1.6367
4.9101 4.9101 4.9101
3.2734 3.2734 3.2734
```

Values from the calculation:
E_form   1.30 kcal/mol of atoms
Calculated total energy   -3.2761 eV/atom
Total magnetization   0.0 Bohr magnetons per cell

## ScGaAgGe2 (PBEsol)

Data for crystalline ScGaAgGe2 at its relaxed geometry.

The structure in POSCAR format:
```
ScGaAgGe2
1.0
4.7620 0.0000 0.0000
0.0000 4.7620 0.0000
0.0000 0.0000 5.2001
Sc Ga Ag Ge
1 1 1 2
Cartesian
0.0000 0.0000 0.0000
2.3810 2.3810 0.0000
0.0000 0.0000 2.6000
0.0000 2.3810 2.6000
2.3810 0.0000 2.6000
```

Values from the calculation:
E_form   11.97 kcal/mol of atoms
Calculated total energy   -4.1079 eV/atom
Total magnetization   0.0 Bohr magnetons per cell

## Ga2AgH (PBEsol)

Data for crystalline Ga2AgH at its relaxed geometry.

The structure in POSCAR format:
```
Ga2AgH
1.0
0.0000 3.0833 3.0833
3.0833 0.0000 3.0833
3.0833 3.0833 0.0000
Ga Ag H
2 1 1
Cartesian
1.5416 1.5416 1.5416
4.6249 4.6249 4.6249
0.0000 0.0000 0.0000
3.0833 3.0833 3.0833
```

Values from the calculation:
Calculated total energy   -2.9541 eV/atom
Total magnetization   0.0 Bohr magnetons per cell

## ScGaAgH2 (PBEsol)

Data for crystalline ScGaAgH2 at its relaxed geometry.

The structure in POSCAR format:
```
ScGaAgH2
1.0
3.7055 0.0000 0.0000
0.0000 3.7055 0.0000
0.0000 0.0000 5.6782
Sc Ga Ag H
1 1 1 2
Cartesian
0.0000 0.0000 0.0000
0.0000 0.0000 2.8391
1.8527 1.8527 2.8391
0.0000 1.8527 0.0000
1.8527 0.0000 0.0000
```

Values from the calculation:
Calculated total energy   -3.8692 eV/atom
Total magnetization   0.0 Bohr magnetons per cell

## HfGa2Ag2 (PBEsol)

Data for crystalline HfGa2Ag2 at its relaxed geometry.

The structure in POSCAR format:
```
HfGa2Ag2
1.0
-1.9467 1.9467 5.7006
1.9467 -1.9467 5.7006
1.9467 1.9467 -5.7006
Hf Ga Ag
1 2 2
Cartesian
0.0000 0.0000 0.0000
0.0000 0.0000 4.5440
0.0000 0.0000 6.8572
1.9467 0.0000 2.8503
0.0000 1.9467 2.8503
```

Values from the calculation:
E_form   -2.70 kcal/mol of atoms
Calculated total energy   -4.8779 eV/atom
Total magnetization   0.0 Bohr magnetons per cell

Which value of calculated total energy does entry 4 give? -3.2761 eV/atom